Entry 1:
YNi4P3: optimized geometry, PBE.

Calculated values
V   13.36 Å³ per atom
ΔE_f   -0.808 eV/atom

Cell and atoms, written as extended XYZ:
```
8
Lattice="3.8351 0.0000 0.0000 0.0000 3.8351 0.0000 0.0000 0.0000 7.2651" Properties=species:S:1:pos:R:3 pbc="T T T"
Y 0.0000 0.0000 0.0000
Ni 0.0000 1.9175 2.3477
Ni 0.0000 1.9175 4.9174
Ni 1.9175 0.0000 2.3477
Ni 1.9175 0.0000 4.9174
P 0.0000 0.0000 3.6326
P 1.9175 1.9175 1.1533
P 1.9175 1.9175 6.1119
```

=====

Entry 2:
Tm2ScNbN4: optimized geometry, PBE.

Calculated values
V   12.32 Å³ per atom
ΔE_f (raw)   -1.655 eV/atom

Cell and atoms, written as extended XYZ:
```
8
Lattice="5.6541 0.0000 0.0000 0.0000 3.2544 0.0000 -1.8619 0.0000 5.3556" Properties=species:S:1:pos:R:3 pbc="T T T"
Tm 0.0000 0.0000 0.0000
Tm 2.8271 1.6272 0.0000
Sc -0.9310 1.6272 2.6778
Nb 1.8961 0.0000 2.6778
N 0.0465 0.0000 3.9339
N 0.9613 1.6272 1.4199
N 2.8309 1.6272 3.9357
N 3.7457 0.0000 1.4216
```

=====

Entry 3:
CsCu4As2: optimized geometry, PBE.

Calculated values
V   21.21 Å³ per atom
ΔE_f   -0.143 eV/atom

Cell and atoms, written as extended XYZ:
```
7
Lattice="2.0325 -8.7342 0.0000 2.0325 8.7342 0.0000 0.0000 0.0000 4.1811" Properties=species:S:1:pos:R:3 pbc="T T T"
Cs 0.0000 0.0000 0.0000
Cu 2.0325 5.0816 2.0906
Cu 2.0325 3.5342 0.0000
Cu 2.0325 -3.5342 0.0000
Cu 2.0325 -5.0816 2.0906
As 2.0325 2.3515 2.0906
As 2.0325 -2.3515 2.0906
```

=====

Entry 4:
SrMgTl2Co: optimized geometry, PBE.

Calculated values
V   25.95 Å³ per atom
ΔE_f   -0.029 eV/atom

Cell and atoms, written as extended XYZ:
```
5
Lattice="5.1167 0.0000 0.0000 0.0000 5.1167 0.0000 0.0000 0.0000 4.9563" Properties=species:S:1:pos:R:3 pbc="T T T"
Sr 0.0000 0.0000 0.0000
Mg 2.5583 2.5583 0.0000
Tl 0.0000 2.5583 2.4781
Tl 2.5583 0.0000 2.4781
Co 2.5583 2.5583 2.4781
```

=====

Entry 5:
Rb2PaCdS4: optimized geometry, PBE.

Calculated values
V   27.92 Å³ per atom
ΔE_f (raw)   -1.223 eV/atom

Cell and atoms, written as extended XYZ:
```
8
Lattice="7.1085 0.0000 0.0000 0.0000 4.0868 0.0000 -2.5693 0.0000 7.6883" Properties=species:S:1:pos:R:3 pbc="T T T"
Rb 0.0000 0.0000 0.0000
Rb 3.5543 2.0434 0.0000
Pa -1.2846 2.0434 3.8442
Cd 2.2696 0.0000 3.8442
S -0.2725 0.0000 5.3897
S 1.0832 2.0434 2.4300
S 3.4560 2.0434 5.2583
S 4.8118 0.0000 2.2986
```

=====

Entry 6:
TaHAu3: optimized geometry, PBE.

Calculated values
V   15.22 Å³ per atom
Energy above the most stable polymorph in this dataset   0.000 kcal/mol of atoms

Cell and atoms, written as extended XYZ:
```
5
Lattice="4.2381 0.0000 0.0000 0.0000 4.2381 0.0000 0.0000 0.0000 4.2381" Properties=species:S:1:pos:R:3 pbc="T T T"
Ta 0.0000 0.0000 0.0000
H 2.1190 2.1190 2.1190
Au 0.0000 2.1190 2.1190
Au 2.1190 0.0000 2.1190
Au 2.1190 2.1190 0.0000
```

=====

> What is the formula in the sixth record?

TaHAu3

=====

Copy entry 4 word for word.
SrMgTl2Co: optimized geometry, PBE.

Calculated values
V   25.95 Å³ per atom
ΔE_f   -0.029 eV/atom

Cell and atoms, written as extended XYZ:
```
5
Lattice="5.1167 0.0000 0.0000 0.0000 5.1167 0.0000 0.0000 0.0000 4.9563" Properties=species:S:1:pos:R:3 pbc="T T T"
Sr 0.0000 0.0000 0.0000
Mg 2.5583 2.5583 0.0000
Tl 0.0000 2.5583 2.4781
Tl 2.5583 0.0000 2.4781
Co 2.5583 2.5583 2.4781
```